w | First-principles (PBE-GGA) data for VGeW3 after structural relaxation, as listed in Alexandria.

- Volume: 18.93 A^3/atom
- Symmetry: Pm-3m, No. 221
- Total magnetic moment: 0.000 μB per cell
- Fermi-level density of states: 5.800 states/eV per cell

Cell: 4.557 4.557 4.557 Å, 90.00 90.00 90.00°
Positions (direct):
V 0.000 0.000 0.000
W 0.000 0.000 0.500
W 0.000 0.500 0.000
W 0.500 0.000 0.000
Ge 0.500 0.500 0.500

***

x | First-principles (PBE-GGA) data for VGeW3 after structural relaxation, as listed in Alexandria.

- Volume: 19.18 A^3/atom
- Symmetry: Pm-3m, No. 221
- Total magnetic moment: 1.729 μB per cell
- Fermi-level density of states: 5.620 states/eV per cell

Cell: 4.577 4.577 4.577 Å, 90.00 90.00 90.00°
Each line ends with the local moment (μB).
Positions (direct):
W 0.500 0.000 0.000  -0.11
W 0.000 0.000 0.500  -0.11
W 0.000 0.500 0.000  -0.11
V 0.500 0.500 0.500  1.87
Ge 0.000 0.000 0.000  -0.02

***

Energetically preferred structure: w | next structure: +17 meV/atom